Ba5Na2O2 | PBE-GGA | optimized geometry

Results
**Calculated density**: 3.39 g cm⁻³
**VASP energy**: -3.52 eV per atom
**Density of states at the Fermi level**: 6.7 states/eV per cell

a = 5.9017 Å, b = 7.8212 Å, c = 8.8001 Å
α = 94.32°, β = 90.00°, γ = 112.17°
Element x y z (fractional)
Ba  0.0000  0.0000  0.0000
Ba  0.8457  0.6913  0.3930
Ba  0.1543  0.3087  0.6070
Ba  0.3123  0.6247  0.0859
Ba  0.6877  0.3753  0.9141
O  0.8302  0.6604  0.1024
O  0.1698  0.3396  0.8976
Na  0.4357  0.8715  0.6680
Na  0.5643  0.1285  0.3320

Ba2NaO | PBE-GGA | optimized geometry

Results
**Calculated density**: 3.01 g cm⁻³
**VASP energy**: -3.72 eV per atom
**Density of states at the Fermi level**: 6.8 states/eV per cell

a = 8.0382 Å, b = 8.0382 Å, c = 7.8087 Å
α = 59.02°, β = 59.02°, γ = 90.00°
Element x y z (fractional)
Ba  0.2658  0.6250  0.2500
Ba  0.4842  0.1250  0.2500
Ba  0.3750  0.5158  0.7500
Ba  0.8750  0.7342  0.7500
Na  0.7500  0.2500  0.5000
Na  0.0000  0.0000  0.0000
O  0.2500  0.7500  0.5000
O  0.5000  0.5000  0.0000

BaNa3O3 | PBE-GGA | optimized geometry

Results
**Calculated density**: 3.31 g cm⁻³
**VASP energy**: -4.39 eV per atom
**Density of states at the Fermi level**: 15.2 states/eV per cell

a = 6.8543 Å, b = 6.8543 Å, c = 7.4198 Å
α = 62.49°, β = 62.49°, γ = 60.00°
Site moments in Bohr magnetons follow the coordinates.
Element x y z (fractional)
Ba  0.3312  0.3312  0.0064  0.01
Ba  0.6688  0.6688  0.9936  0.01
O  0.5307  0.9228  0.2636  0.27
O  0.2830  0.5307  0.2636  0.27
O  0.4693  0.0772  0.7364  0.27
O  0.9228  0.2830  0.2636  0.27
O  0.7170  0.4693  0.7364  0.27
O  0.0772  0.7170  0.7364  0.27
Na  0.1378  0.3944  0.6425  0.00
Na  0.6056  0.1747  0.3575  0.00
Na  0.3944  0.8253  0.6425  0.00
Na  0.8622  0.6056  0.3575  0.00
Na  0.1747  0.8622  0.3575  0.00
Na  0.8253  0.1378  0.6425  0.00

BaNa2O | PBE-GGA | optimized geometry

Results
**Calculated density**: 2.43 g cm⁻³
**VASP energy**: -2.95 eV per atom
**Density of states at the Fermi level**: 5.7 states/eV per cell

a = 7.2761 Å, b = 7.2761 Å, c = 7.2836 Å
α = 60.03°, β = 60.03°, γ = 90.00°
Element x y z (fractional)
O  0.5000  0.5000  0.0000
O  0.2500  0.7500  0.5000
Na  0.3750  0.6254  0.7500
Na  0.3746  0.1250  0.2500
Na  0.8750  0.6246  0.7500
Na  0.3754  0.6250  0.2500
Ba  0.0000  0.0000  0.0000
Ba  0.7500  0.2500  0.5000

BaNaO4 | PBE-GGA | optimized geometry

Results
**Calculated density**: 3.87 g cm⁻³
**VASP energy**: -5.09 eV per atom
**Density of states at the Fermi level**: 5.8 states/eV per cell

a = 6.6829 Å, b = 6.6829 Å, c = 4.3103 Å
α = 95.60°, β = 99.85°, γ = 145.77°
Site moments in Bohr magnetons follow the coordinates.
Element x y z (fractional)
O  0.5718  0.8024  0.3742  0.20
O  0.4282  0.1976  0.6258  0.20
O  0.3613  0.6508  0.0121  0.23
O  0.6387  0.3492  0.9879  0.23
Na  0.0000  0.5000  0.5000  0.00
Ba  0.0000  0.0000  0.0000  -0.01

Ba2NaO | PBE-GGA | optimized geometry

Results
**Calculated density**: 2.89 g cm⁻³
**VASP energy**: -3.81 eV per atom
**Density of states at the Fermi level**: 4.6 states/eV per cell

a = 8.3773 Å, b = 8.3773 Å, c = 7.0192 Å
α = 90.00°, β = 90.00°, γ = 133.07°
Element x y z (fractional)
Ba  0.0871  0.9129  0.1931
Ba  0.4129  0.5871  0.1931
Ba  0.9129  0.0871  0.8068
Ba  0.5871  0.4129  0.8068
O  0.2500  0.2500  0.0000
O  0.7500  0.7500  0.0000
Na  0.7500  0.2500  0.3121
Na  0.2500  0.7500  0.6879

Ba2Na2O3 | PBE-GGA | optimized geometry

Results
**Calculated density**: 4.49 g cm⁻³
**VASP energy**: -4.90 eV per atom
**Density of states at the Fermi level**: 0.0 states/eV per cell

a = 5.5091 Å, b = 6.0456 Å, c = 8.5212 Å
α = 74.10°, β = 90.00°, γ = 90.00°
Element x y z (fractional)
Na  0.6303  0.1923  0.9251
Na  0.3697  0.8077  0.0749
Na  0.1303  0.3077  0.0749
Na  0.8697  0.6923  0.9251
O  0.0000  0.0000  0.0000
O  0.5227  0.1448  0.6679
O  0.5000  0.5000  0.0000
O  0.4773  0.8552  0.3321
O  0.9773  0.6448  0.6679
O  0.0227  0.3552  0.3321
Ba  0.4677  0.7079  0.6682
Ba  0.0323  0.2079  0.6682
Ba  0.9677  0.7921  0.3318
Ba  0.5323  0.2921  0.3318

Ba2Na2O3 | PBE-GGA | optimized geometry

Results
**Calculated density**: 4.29 g cm⁻³
**VASP energy**: -4.90 eV per atom
**Density of states at the Fermi level**: 0.0 states/eV per cell

a = 7.1731 Å, b = 7.1731 Å, c = 11.0921 Å
α = 90.00°, β = 90.00°, γ = 90.00°
Element x y z (fractional)
O  0.5089  0.2422  0.6289
O  0.4911  0.7578  0.1289
O  0.1982  0.8018  0.7500
O  0.7578  0.4911  0.8711
O  0.2422  0.5089  0.3711
O  0.9911  0.7422  0.1211
O  0.2578  0.0089  0.3789
O  0.7422  0.9911  0.8789
O  0.0089  0.2578  0.6211
O  0.3018  0.3018  0.0000
O  0.8018  0.1982  0.2500
O  0.6982  0.6982  0.5000
Ba  0.2620  0.5194  0.6069
Ba  0.7620  0.9806  0.6431
Ba  0.2380  0.0194  0.1431
Ba  0.7380  0.4806  0.1069
Ba  0.4806  0.7380  0.8931
Ba  0.9806  0.7620  0.3569
Ba  0.5194  0.2620  0.3931
Ba  0.0194  0.2380  0.8569
Na  0.9649  0.7453  0.8949
Na  0.2453  0.5351  0.1449
Na  0.5351  0.2453  0.8551
Na  0.7453  0.9649  0.1051
Na  0.2547  0.0351  0.6051
Na  0.4649  0.7547  0.3551
Na  0.0351  0.2547  0.3949
Na  0.7547  0.4649  0.6449

Ba2NaO | PBE-GGA | optimized geometry

Results
**Calculated density**: 2.83 g cm⁻³
**VASP energy**: -3.77 eV per atom
**Density of states at the Fermi level**: 10.5 states/eV per cell

a = 8.0174 Å, b = 7.8543 Å, c = 11.8957 Å
α = 101.04°, β = 90.00°, γ = 90.00°
Element x y z (fractional)
Ba  0.2248  0.4501  0.4551
Ba  0.2248  0.0499  0.0449
Ba  0.8796  0.0555  0.3205
Ba  0.7752  0.5499  0.5449
Ba  0.1204  0.9445  0.6795
Ba  0.8796  0.4445  0.1795
Ba  0.7752  0.9501  0.9551
Ba  0.1204  0.5555  0.8205
O  0.0666  0.6213  0.6226
O  0.9334  0.3787  0.3774
O  0.9334  0.1213  0.1226
O  0.0666  0.8787  0.8774
Na  0.6022  0.4175  0.8667
Na  0.6022  0.0825  0.6333
Na  0.3978  0.9175  0.3667
Na  0.3978  0.5825  0.1333

Ba3NaOs2O9 | PBE-GGA | optimized geometry

Results
**Energy relative to the lowest polymorph listed for this composition**: 0.000 eV/atom
**Calculated density**: 7.09 g cm⁻³
**VASP energy**: -6.86 eV per atom
**Density of states at the Fermi level**: 13.7 states/eV per cell

a = 5.9819 Å, b = 5.9819 Å, c = 14.4936 Å
α = 90.00°, β = 90.00°, γ = 120.00°
Site moments in Bohr magnetons follow the coordinates.
Element x y z (fractional)
O  0.8199  0.1801  0.9086  0.10
O  0.6399  0.8199  0.4086  0.10
O  0.6399  0.8199  0.0914  0.10
O  0.8199  0.6399  0.5914  0.10
O  0.3601  0.1801  0.9086  0.10
O  0.4915  0.9830  0.2500  0.03
O  0.0170  0.5085  0.2500  0.03
O  0.1801  0.8199  0.4086  0.10
O  0.4915  0.5085  0.2500  0.03
O  0.5085  0.0170  0.7500  0.03
O  0.8199  0.1801  0.5914  0.10
O  0.8199  0.6399  0.9086  0.10
O  0.5085  0.4915  0.7500  0.03
O  0.1801  0.3601  0.4086  0.10
O  0.1801  0.8199  0.0914  0.10
O  0.3601  0.1801  0.5914  0.10
O  0.1801  0.3601  0.0914  0.10
O  0.9830  0.4915  0.7500  0.03
Ba  0.3333  0.6667  0.9112  0.02
Ba  0.0000  0.0000  0.2500  0.01
Ba  0.0000  0.0000  0.7500  0.01
Ba  0.6667  0.3333  0.0888  0.02
Ba  0.3333  0.6667  0.5888  0.02
Ba  0.6667  0.3333  0.4112  0.02
Na  0.0000  0.0000  0.0000  0.00
Na  0.0000  0.0000  0.5000  0.00
Os  0.3333  0.6667  0.1624  0.95
Os  0.6667  0.3333  0.8376  0.95
Os  0.3333  0.6667  0.3376  0.95
Os  0.6667  0.3333  0.6624  0.95

Ba3Na3OsO8 | PBE-GGA | optimized geometry

Results
**Calculated density**: 4.70 g cm⁻³
**VASP energy**: -5.81 eV per atom
**Density of states at the Fermi level**: 5.6 states/eV per cell

a = 7.3987 Å, b = 7.4045 Å, c = 7.3228 Å
α = 120.36°, β = 90.00°, γ = 119.97°
Site moments in Bohr magnetons follow the coordinates.
Element x y z (fractional)
Na  0.5000  0.0000  0.5000  0.00
Na  0.5000  0.5000  0.5000  0.00
Na  0.0000  0.5000  0.5000  0.00
O  0.1860  0.0012  0.6869  0.04
O  0.8152  0.0012  0.6869  0.04
O  0.8143  0.6287  0.3135  0.04
O  0.7474  0.4947  0.7417  0.00
O  0.1857  0.3713  0.6865  0.04
O  0.2526  0.5053  0.2583  0.00
O  0.1848  0.9988  0.3131  0.04
O  0.8140  0.9988  0.3131  0.04
Ba  0.0000  0.0000  0.0000  0.01
Ba  0.0000  0.5000  0.0000  0.01
Ba  0.5000  0.5000  0.0000  0.01
Os  0.0000  0.0000  0.5000  0.69

Ba2Na2OsO6 | PBE-GGA | optimized geometry

Results
**Calculated density**: 4.87 g cm⁻³
**VASP energy**: -6.07 eV per atom
**Density of states at the Fermi level**: 6.3 states/eV per cell

a = 6.3874 Å, b = 6.3874 Å, c = 5.9328 Å
α = 96.17°, β = 96.17°, γ = 118.99°
Site moments in Bohr magnetons follow the coordinates.
Element x y z (fractional)
Ba  0.6621  0.3379  0.5000  0.01
Ba  0.3379  0.6621  0.5000  0.01
Na  0.1207  0.8793  0.0000  0.01
Na  0.8793  0.1207  0.0000  0.01
O  0.7103  0.9679  0.3118  0.06
O  0.2078  0.2078  0.2956  0.09
O  0.7922  0.7922  0.7044  0.09
O  0.0321  0.2897  0.6882  0.06
O  0.9679  0.7103  0.3118  0.06
O  0.2897  0.0321  0.6882  0.06
Os  0.0000  0.0000  0.5000  1.31

Ba2Na3OsO6 | PBE-GGA | optimized geometry

Results
**Calculated density**: 5.29 g cm⁻³
**VASP energy**: -5.77 eV per atom

a = 6.4809 Å, b = 6.4809 Å, c = 5.9097 Å
α = 98.95°, β = 98.95°, γ = 122.70°
Site moments in Bohr magnetons follow the coordinates.
Element x y z (fractional)
Ba  0.3295  0.6705  0.0000  0.01
Ba  0.6705  0.3295  0.0000  0.01
O  0.7874  0.7874  0.1991  0.10
O  0.9312  0.6802  0.7813  0.11
O  0.0688  0.3198  0.2187  0.11
O  0.6802  0.9312  0.7813  0.11
O  0.2126  0.2126  0.8009  0.10
O  0.3198  0.0688  0.2187  0.11
Na  0.5000  0.5000  0.5000  0.01
Na  0.8763  0.1237  0.5000  0.01
Na  0.1237  0.8763  0.5000  0.01
Os  0.0000  0.0000  0.0000  2.01

Ba4NaOs3O12 | PBE-GGA | optimized geometry

Results
**Calculated density**: 7.95 g cm⁻³
**VASP energy**: -6.90 eV per atom
**Density of states at the Fermi level**: 12.0 states/eV per cell

a = 7.1294 Å, b = 7.1294 Å, c = 7.1294 Å
α = 109.47°, β = 109.47°, γ = 109.47°
Site moments in Bohr magnetons follow the coordinates.
Element x y z (fractional)
Na  0.0000  0.0000  0.0000  0.00
Ba  0.5000  0.0000  0.0000  0.01
Ba  0.5000  0.5000  0.5000  0.01
Ba  0.0000  0.0000  0.5000  0.01
Ba  0.0000  0.5000  0.0000  0.01
Os  0.5000  0.5000  0.0000  0.64
Os  0.5000  0.0000  0.5000  0.64
Os  0.0000  0.5000  0.5000  0.64
O  0.5000  0.7500  0.2500  0.01
O  0.7300  0.7300  0.0000  0.11
O  0.2500  0.5000  0.7500  0.01
O  0.7500  0.2500  0.5000  0.01
O  0.2500  0.7500  0.5000  0.01
O  0.2700  0.2700  0.0000  0.11
O  0.7500  0.5000  0.2500  0.01
O  0.5000  0.2500  0.7500  0.01
O  0.7300  0.0000  0.7300  0.11
O  0.0000  0.2700  0.2700  0.11
O  0.2700  0.0000  0.2700  0.11
O  0.0000  0.7300  0.7300  0.11

BaNa2OsO | PBE-GGA | optimized geometry

Results
**Calculated density**: 5.57 g cm⁻³
**VASP energy**: -4.08 eV per atom
**Density of states at the Fermi level**: 3.3 states/eV per cell

a = 5.5055 Å, b = 3.8292 Å, c = 5.5055 Å
α = 90.00°, β = 90.00°, γ = 90.00°
Site moments in Bohr magnetons follow the coordinates.
Element x y z (fractional)
Na  0.0000  0.0000  0.5000  0.02
Na  0.5000  0.0000  0.0000  0.02
O  0.0000  0.0000  0.0000  0.02
Ba  0.5000  0.5000  0.5000  0.20
Os  0.0000  0.5000  0.0000  -0.02

BaNaOsO4 | PBE-GGA | optimized geometry

Results
**Calculated density**: 3.72 g cm⁻³
**VASP energy**: -6.02 eV per atom
**Density of states at the Fermi level**: 3.2 states/eV per cell

a = 6.3964 Å, b = 6.3964 Å, c = 6.3964 Å
α = 60.00°, β = 60.00°, γ = 60.00°
Site moments in Bohr magnetons follow the coordinates.
Element x y z (fractional)
Ba  0.7500  0.7500  0.7500  0.00
O  0.3665  0.9006  0.3665  0.10
O  0.9006  0.3665  0.3665  0.10
O  0.3665  0.3665  0.3665  0.10
O  0.3665  0.3665  0.9006  0.10
Os  0.2500  0.2500  0.2500  0.79
Na  0.5000  0.5000  0.5000  0.00

Ba2NaOs3O12 | PBE-GGA | optimized geometry

Results
**Calculated density**: 6.74 g cm⁻³
**VASP energy**: -6.98 eV per atom
**Density of states at the Fermi level**: 6.7 states/eV per cell

a = 7.0177 Å, b = 7.0177 Å, c = 7.0177 Å
α = 63.09°, β = 63.09°, γ = 63.09°
Element x y z (fractional)
O  0.8630  0.4595  0.8630
O  0.8745  0.2820  0.2820
O  0.2820  0.2820  0.8745
O  0.7180  0.1255  0.7180
O  0.4595  0.8630  0.8630
O  0.2820  0.8745  0.2820
O  0.1370  0.5405  0.1370
O  0.8630  0.8630  0.4595
O  0.1255  0.7180  0.7180
O  0.5405  0.1370  0.1370
O  0.7180  0.7180  0.1255
O  0.1370  0.1370  0.5405
Na  0.0000  0.0000  0.0000
Ba  0.6064  0.6064  0.6064
Ba  0.3936  0.3936  0.3936
Os  0.0000  0.0000  0.5000
Os  0.5000  0.0000  0.0000
Os  0.0000  0.5000  0.0000

Ba2NaOsO5 | PBE-GGA | optimized geometry

Results
**Calculated density**: 6.17 g cm⁻³
**VASP energy**: -6.35 eV per atom
**Density of states at the Fermi level**: 4.8 states/eV per cell

a = 3.8968 Å, b = 6.3864 Å, c = 7.1881 Å
α = 116.37°, β = 105.73°, γ = 90.00°
Site moments in Bohr magnetons follow the coordinates.
Element x y z (fractional)
O  0.3814  0.6619  0.7629  0.07
O  0.6186  0.8990  0.2371  0.07
O  0.0000  0.0000  0.0000  0.04
O  0.3814  0.1010  0.7629  0.07
O  0.6186  0.3381  0.2371  0.07
Na  0.0000  0.5000  0.0000  0.00
Os  0.5000  0.0000  0.0000  0.93
Ba  0.2234  0.2234  0.4468  0.01
Ba  0.7766  0.7766  0.5532  0.01

Ba3NaOs2O9 | PBE-GGA | optimized geometry

Results
**Energy relative to the lowest polymorph listed for this composition**: 0.002 eV/atom
**Calculated density**: 7.47 g cm⁻³
**VASP energy**: -6.86 eV per atom
**Density of states at the Fermi level**: 7.0 states/eV per cell

a = 5.8437 Å, b = 5.8437 Å, c = 7.2077 Å
α = 90.00°, β = 90.00°, γ = 120.00°
Element x y z (fractional)
Os  0.3333  0.6667  0.1546
Os  0.6667  0.3333  0.8454
O  0.5000  0.5000  0.0000
O  0.3599  0.1800  0.6915
O  0.8200  0.6401  0.6915
O  0.8200  0.1800  0.6915
O  0.6401  0.8200  0.3085
O  0.1800  0.3599  0.3085
O  0.5000  0.0000  0.0000
O  0.0000  0.5000  0.0000
O  0.1800  0.8200  0.3085
Ba  0.6667  0.3333  0.3491
Ba  0.3333  0.6667  0.6509
Ba  0.0000  0.0000  0.0000
Na  0.0000  0.0000  0.5000